1.
First-principles (PBE-GGA) data for La2AgAu after structural relaxation, as listed in OQMD via LeMat-Bulk.

Summary:
energy above the most stable polymorph in this dataset	0.000	eV/atom
formation enthalpy at 0 K	-0.559	eV/atom
magnetization	0.01	μB/cell
total energy	-4.543	eV/atom

Cell: 6.061 4.912 7.587 Å, 90.00 90.01 90.00°
Space group P2_1/m (No. 11)
Inequivalent atoms, fractional coordinates:
La1 0.131 0.250 0.312 x2
La2 0.359 0.250 0.827 x2
Ag1 0.368 0.750 0.538 x2
Au1 0.150 0.750 0.045 x2



2.
First-principles (PBE-GGA) data for LaAgAu2 after structural relaxation, as listed in OQMD via LeMat-Bulk.

Summary:
energy above the most stable polymorph in this dataset	0.000	eV/atom
formation enthalpy at 0 K	-0.604	eV/atom
magnetization	0.01	μB/cell
total energy	-4.174	eV/atom

Cell: 10.233 6.910 5.159 Å, 90.00 90.00 90.00°
Space group Pnma (No. 62)
Inequivalent atoms, fractional coordinates:
La1 0.096 0.250 0.249 x4
Ag1 0.107 0.750 0.250 x4
Au1 0.153 0.011 0.748 x8



3.
First-principles (PBE-GGA) data for LaAgAu2 after structural relaxation, as listed in OQMD via LeMat-Bulk.

Summary:
energy above the most stable polymorph in this dataset	0.188	eV/atom
formation enthalpy at 0 K	-0.416	eV/atom
magnetization	0.00	μB/cell
total energy	-3.986	eV/atom

Cell: 4.723 4.723 4.118 Å, 90.00 90.00 90.00°
Space group P4/mmm (No. 123)
Inequivalent atoms, fractional coordinates:
La1 0.000 0.000 0.000 x1
Ag1 0.500 0.500 0.000 x1
Au1 0.000 0.500 0.500 x2



4.
First-principles (PBE-GGA) data for LaAgAu2 after structural relaxation, as listed in OQMD via LeMat-Bulk.

Summary:
energy above the most stable polymorph in this dataset	0.002	eV/atom
formation enthalpy at 0 K	-0.602	eV/atom
magnetization	0.00	μB/cell
total energy	-4.172	eV/atom

Cell: 5.049 5.049 7.187 Å, 90.00 90.00 90.00°
Space group I4/mmm (No. 139)
Inequivalent atoms, fractional coordinates:
La1 0.000 0.000 0.000 x2
Ag1 0.000 0.000 0.500 x2
Au1 0.000 0.500 0.250 x4



5.
First-principles (PBE-GGA) data for LaAgAu2 after structural relaxation, as listed in OQMD via LeMat-Bulk.

Summary:
energy above the most stable polymorph in this dataset	0.002	eV/atom
formation enthalpy at 0 K	-0.602	eV/atom
magnetization	0.00	μB/cell
total energy	-4.172	eV/atom

Cell: 7.155 7.155 7.155 Å, 90.00 90.00 90.00°
Space group Fm-3m (No. 225)
Inequivalent atoms, fractional coordinates:
La1 0.000 0.000 0.000 x4
Ag1 0.000 0.000 0.500 x4
Au1 0.250 0.250 0.250 x8



6.
First-principles (PBE-GGA) data for La4Ag3Au after structural relaxation, as listed in OQMD via LeMat-Bulk.

Summary:
formation enthalpy at 0 K	-0.417	eV/atom
magnetization	0.00	μB/cell
total energy	-4.345	eV/atom

Cell: 6.067 4.903 7.575 Å, 90.00 90.05 90.00°
Space group Pm (No. 6)
Inequivalent atoms, fractional coordinates:
La1 0.000 0.000 0.000 x1
La2 0.223 0.000 0.509 x1
La3 0.488 0.500 0.143 x1
La4 0.725 0.500 0.649 x1
Ag1 0.502 0.000 0.867 x1
Ag2 0.723 0.000 0.363 x1
Ag3 0.989 0.500 0.284 x1
Au1 0.220 0.500 0.782 x1



7.
First-principles (PBE-GGA) data for La2AgAu after structural relaxation, as listed in OQMD via LeMat-Bulk.

Summary:
energy above the most stable polymorph in this dataset	0.002	eV/atom
formation enthalpy at 0 K	-0.557	eV/atom
magnetization	0.01	μB/cell
total energy	-4.541	eV/atom

Cell: 4.879 6.054 7.591 Å, 90.00 90.00 90.00°
Space group Pmc2_1 (No. 26)
Inequivalent atoms, fractional coordinates:
La1 0.000 0.104 0.000 x2
La2 0.500 0.380 0.637 x2
Ag1 0.000 0.398 0.356 x2
Au1 0.500 0.115 0.275 x2



8.
First-principles (PBE-GGA) data for La2AgAu after structural relaxation, as listed in OQMD via LeMat-Bulk.

Summary:
energy above the most stable polymorph in this dataset	0.003	eV/atom
formation enthalpy at 0 K	-0.556	eV/atom
magnetization	0.01	μB/cell
total energy	-4.540	eV/atom

Cell: 4.881 7.582 6.041 Å, 90.00 90.00 90.00°
Space group Pmn2_1 (No. 31)
Inequivalent atoms, fractional coordinates:
La1 0.000 0.068 0.000 x2
La2 0.000 0.570 0.227 x2
Ag1 0.000 0.709 0.725 x2
Au1 0.000 0.209 0.503 x2



9.
First-principles (PBE-GGA) data for Li2La2Tl2AgAu after structural relaxation, as listed in OQMD via LeMat-Bulk.

Summary:
magnetization	0.00	μB/cell
total energy	-3.473	eV/atom

Cell: 5.070 5.070 7.172 Å, 90.00 90.00 90.00°
Space group P-4m2 (No. 115)
Inequivalent atoms, fractional coordinates:
Li1 0.000 0.000 0.000 x1
Li2 0.500 0.500 0.500 x1
La1 0.000 0.500 0.746 x2
Tl1 0.000 0.500 0.247 x2
Ag1 0.500 0.500 0.000 x1
Au1 0.000 0.000 0.500 x1



10.
First-principles (PBE-GGA) data for La2Mg4AgAu after structural relaxation, as listed in OQMD via LeMat-Bulk.

Summary:
magnetization	0.03	μB/cell
total energy	-3.152	eV/atom

Cell: 8.196 4.592 10.622 Å, 90.00 90.00 90.00°
Space group Amm2 (No. 38)
Inequivalent atoms, fractional coordinates:
La1 0.000 0.000 0.000 x2
La2 0.500 0.000 0.120 x2
Mg1 0.192 0.000 0.709 x4
Mg2 0.303 0.000 0.413 x4
Ag1 0.500 0.000 0.832 x2
Au1 0.000 0.000 0.290 x2



11.
First-principles (PBE-GGA) data for La2Si2AgAu after structural relaxation, as listed in OQMD via LeMat-Bulk.

Summary:
magnetization	0.00	μB/cell
total energy	-5.173	eV/atom

Cell: 4.4419 4.4419 8.2370 Å, 90.00 90.00 120.00°
Space group P3m1 (No. 156)
Inequivalent atoms, fractional coordinates:
La1 0.0000 0.0000 0.0000 x1
La2 0.0000 0.0000 0.4983 x1
Si1 0.3333 0.6667 0.2623 x1
Si2 0.6667 0.3333 0.7614 x1
Ag1 0.3333 0.6667 0.7439 x1
Au1 0.6667 0.3333 0.2438 x1



12.
First-principles (PBE-GGA) data for La2Si2AgAu after structural relaxation, as listed in OQMD via LeMat-Bulk.

Summary:
magnetization	0.01	μB/cell
total energy	-5.172	eV/atom

Cell: 4.4395 4.4395 8.2620 Å, 90.00 90.00 120.00°
Space group P-6m2 (No. 187)
Inequivalent atoms, fractional coordinates:
La1 0.0000 0.0000 0.2492 x2
Si1 0.3333 0.6667 0.5000 x1
Si2 0.6667 0.3333 0.0000 x1
Ag1 0.6667 0.3333 0.5000 x1
Au1 0.3333 0.6667 0.0000 x1



13.
First-principles (PBE-GGA) data for LaTlAgAu after structural relaxation, as listed in OQMD via LeMat-Bulk.

Summary:
energy above the most stable polymorph in this dataset	0.000	eV/atom
magnetization	0.00	μB/cell
total energy	-3.793	eV/atom

Cell: 7.299 7.299 7.299 Å, 90.00 90.00 90.00°
Space group F-43m (No. 216)
Inequivalent atoms, fractional coordinates:
La1 0.000 0.000 0.000 x4
Tl1 0.000 0.000 0.500 x4
Ag1 0.250 0.250 0.250 x4
Au1 0.250 0.250 0.750 x4



14.
First-principles (PBE-GGA) data for LaTlAgAu after structural relaxation, as listed in OQMD via LeMat-Bulk.

Summary:
energy above the most stable polymorph in this dataset	0.048	eV/atom
magnetization	0.00	μB/cell
total energy	-3.745	eV/atom

Cell: 7.297 7.297 7.297 Å, 90.00 90.00 90.00°
Space group F-43m (No. 216)
Inequivalent atoms, fractional coordinates:
La1 0.000 0.000 0.000 x4
Tl1 0.250 0.250 0.250 x4
Ag1 0.000 0.000 0.500 x4
Au1 0.250 0.250 0.750 x4



15.
First-principles (PBE-GGA) data for LaTlAgAu after structural relaxation, as listed in OQMD via LeMat-Bulk.

Summary:
energy above the most stable polymorph in this dataset	0.117	eV/atom
magnetization	0.00	μB/cell
total energy	-3.676	eV/atom

Cell: 7.261 7.261 7.261 Å, 90.00 90.00 90.00°
Space group F-43m (No. 216)
Inequivalent atoms, fractional coordinates:
La1 0.000 0.000 0.000 x4
Tl1 0.250 0.250 0.750 x4
Ag1 0.250 0.250 0.250 x4
Au1 0.000 0.000 0.500 x4



16.
First-principles (PBE-GGA) data for LaYAgAu after structural relaxation, as listed in OQMD via LeMat-Bulk.

Summary:
energy above the most stable polymorph in this dataset	0.201	eV/atom
formation enthalpy at 0 K	-0.348	eV/atom
magnetization	0.00	μB/cell
total energy	-4.718	eV/atom

Cell: 7.147 7.147 7.147 Å, 90.00 90.00 90.00°
Space group F-43m (No. 216)
Inequivalent atoms, fractional coordinates:
La1 0.000 0.000 0.000 x4
Y1 0.250 0.250 0.250 x4
Ag1 0.250 0.250 0.750 x4
Au1 0.000 0.000 0.500 x4



17.
First-principles (PBE-GGA) data for LaYAgAu after structural relaxation, as listed in OQMD via LeMat-Bulk.

Summary:
energy above the most stable polymorph in this dataset	0.000	eV/atom
formation enthalpy at 0 K	-0.549	eV/atom
magnetization	0.02	μB/cell
total energy	-4.919	eV/atom

Cell: 7.433 7.433 7.433 Å, 90.00 90.00 90.00°
Space group F-43m (No. 216)
Inequivalent atoms, fractional coordinates:
La1 0.000 0.000 0.000 x4
Y1 0.000 0.000 0.500 x4
Ag1 0.250 0.250 0.250 x4
Au1 0.250 0.250 0.750 x4



18.
First-principles (PBE-GGA) data for La2Zn4AgAu after structural relaxation, as listed in OQMD via LeMat-Bulk.

Summary:
formation enthalpy at 0 K	-0.436	eV/atom
magnetization	0.01	μB/cell
total energy	-3.061	eV/atom

Cell: 6.887 4.713 10.319 Å, 90.00 90.00 90.00°
Space group Amm2 (No. 38)
Inequivalent atoms, fractional coordinates:
La1 0.000 0.000 0.000 x2
La2 0.500 0.000 0.188 x2
Zn1 0.188 0.000 0.715 x4
Zn2 0.313 0.000 0.473 x4
Ag1 0.500 0.000 0.890 x2
Au1 0.000 0.000 0.298 x2



19.
First-principles (PBE-GGA) data for LiAg2Au after structural relaxation, as listed in OQMD via LeMat-Bulk.

Summary:
total energy	-2.930	eV/atom

Cell: 6.489 6.489 6.489 Å, 90.00 90.00 90.00°
Space group F-43m (No. 216)
Inequivalent atoms, fractional coordinates:
Li1 0.000 0.000 0.000 x4
Ag1 0.000 0.000 0.500 x4
Ag2 0.250 0.250 0.750 x4
Au1 0.250 0.250 0.250 x4



20.
First-principles (PBE-GGA) data for LiAg2Au after structural relaxation, as listed in OQMD via LeMat-Bulk.

Summary:
total energy	-2.956	eV/atom

Cell: 4.074 4.074 4.086 Å, 90.00 90.00 90.00°
Space group P4/mmm (No. 123)
Inequivalent atoms, fractional coordinates:
Li1 0.000 0.000 0.000 x1
Ag1 0.000 0.500 0.500 x2
Au1 0.500 0.500 0.000 x1



21.
First-principles (PBE-GGA) data for LiAgAu after structural relaxation, as listed in OQMD via LeMat-Bulk.

Summary:
energy above the most stable polymorph in this dataset	0.000	eV/atom
total energy	-2.803	eV/atom

Cell: 6.304 6.304 6.304 Å, 90.00 90.00 90.00°
Space group F-43m (No. 216)
Inequivalent atoms, fractional coordinates:
Li1 0.000 0.000 0.000 x4
Ag1 0.000 0.000 0.500 x4
Au1 0.250 0.250 0.750 x4



22.
First-principles (PBE-GGA) data for Li4Mg2AgAu after structural relaxation, as listed in OQMD via LeMat-Bulk.

Summary:
total energy	-2.412	eV/atom

Cell: 4.557 4.557 6.444 Å, 90.00 90.00 90.00°
Space group P-4m2 (No. 115)
Inequivalent atoms, fractional coordinates:
Li1 0.000 0.000 0.000 x1
Li2 0.000 0.500 0.247 x2
Li3 0.500 0.500 0.500 x1
Mg1 0.000 0.500 0.755 x2
Ag1 0.000 0.000 0.500 x1
Au1 0.500 0.500 0.000 x1



23.
First-principles (PBE-GGA) data for Li2MgZnAg2Au2 after structural relaxation, as listed in OQMD via LeMat-Bulk.

Summary:
total energy	-2.736	eV/atom

Cell: 4.511 4.511 6.416 Å, 90.00 90.00 90.00°
Space group P-4m2 (No. 115)
Inequivalent atoms, fractional coordinates:
Li1 0.000 0.000 0.000 x1
Li2 0.500 0.500 0.500 x1
Mg1 0.000 0.000 0.500 x1
Zn1 0.500 0.500 0.000 x1
Ag1 0.000 0.500 0.758 x2
Au1 0.000 0.500 0.245 x2



24.
First-principles (PBE-GGA) data for Li2MgZn2AgAu2 after structural relaxation, as listed in OQMD via LeMat-Bulk.

Summary:
total energy	-2.525	eV/atom

Cell: 4.498 4.498 6.405 Å, 90.00 90.00 90.00°
Space group P-4m2 (No. 115)
Inequivalent atoms, fractional coordinates:
Li1 0.000 0.500 0.235 x2
Mg1 0.000 0.000 0.500 x1
Zn1 0.000 0.000 0.000 x1
Zn2 0.500 0.500 0.500 x1
Ag1 0.500 0.500 0.000 x1
Au1 0.000 0.500 0.736 x2



25.
First-principles (PBE-GGA) data for LiNiAgAu after structural relaxation, as listed in OQMD via LeMat-Bulk.

Summary:
energy above the most stable polymorph in this dataset	0.087	eV/atom
magnetization	0.01	μB/cell
total energy	-3.449	eV/atom

Cell: 6.247 6.247 6.247 Å, 90.00 90.00 90.00°
Space group F-43m (No. 216)
Inequivalent atoms, fractional coordinates:
Li1 0.000 0.000 0.000 x4
Ni1 0.250 0.250 0.250 x4
Ag1 0.250 0.250 0.750 x4
Au1 0.000 0.000 0.500 x4